DFT (SCAN) results for a crystal of Cu2Pt relaxed with PBEsol.

a b c (Å): 3.6845 3.6845 11.4587
angles (deg): 99.25 99.25 90.00
Sites, in units of the cell vectors:
Cu 0.7495 0.7495 0.4991
Cu 0.2505 0.2505 0.5009
Cu 0.9995 0.4995 0.9991
Cu 0.5005 0.0005 0.0009
Cu 0.5820 0.5820 0.1639
Cu 0.4180 0.4180 0.8361
Cu 0.8320 0.3320 0.6639
Cu 0.6680 0.1680 0.3361
Pt 0.9192 0.9192 0.8383
Pt 0.0808 0.0808 0.1617
Pt 0.1692 0.6692 0.3383
Pt 0.3308 0.8308 0.6617

Computed properties:
formation energy: -164 meV/atom
polymorph energy (0 for the lowest one): 0.0000 eV/atom
raw total energy: -2.477 Ry/atom
density: 14.13 g cm⁻³